A plane-wave DFT calculation with PBE was carried out for NaLuSO after structural relaxation.

Cell lengths 3.848, 3.848, 9.122 Å; angles 90.00, 90.00, 90.00 degrees
Positions (direct):
1 Na 0.250 0.750 0.000
2 Na 0.750 0.250 0.000
3 Lu 0.250 0.250 0.386
4 Lu 0.750 0.750 0.614
5 S 0.250 0.250 0.794
6 S 0.750 0.750 0.206
7 O 0.250 0.750 0.500
8 O 0.750 0.250 0.500

- energy relative to the lowest polymorph listed for this composition (eV/atom) = 0.1309
- SG = P4/nmm, No. 129

A plane-wave DFT calculation with PBE was carried out for NaLuSO after structural relaxation.

Cell lengths 4.186, 7.254, 5.948 Å; angles 90.00, 90.00, 90.00 degrees
Positions (direct):
1 Na 0.000 0.202 0.000
2 Na 0.000 0.798 0.500
3 Lu 0.500 0.362 0.424
4 Lu 0.500 0.638 0.924
5 S 0.000 0.183 0.532
6 S 0.000 0.817 0.032
7 O 0.500 0.385 0.080
8 O 0.500 0.615 0.580

- energy relative to the lowest polymorph listed for this composition (eV/atom) = 0.1494
- SG = Pmc2_1, No. 26

A plane-wave DFT calculation with PBE was carried out for NaLuSO after structural relaxation.

Cell lengths 5.443, 5.442, 10.258 Å; angles 90.00, 105.18, 90.00 degrees
Positions (direct):
1 Na 0.043 0.000 0.098
2 Na 0.444 0.990 0.903
3 Na 0.556 0.490 0.097
4 Na 0.957 0.500 0.902
5 Lu 0.051 0.229 0.605
6 Lu 0.449 0.229 0.395
7 Lu 0.551 0.729 0.605
8 Lu 0.949 0.729 0.395
9 S 0.101 0.493 0.189
10 S 0.404 0.488 0.811
11 S 0.596 0.988 0.189
12 S 0.899 0.993 0.811
13 O 0.250 0.478 0.500
14 O 0.250 0.978 0.500
15 O 0.750 0.478 0.500
16 O 0.750 0.978 0.500

- energy relative to the lowest polymorph listed for this composition (eV/atom) = 0.0112
- SG = P2_1, No. 4

A plane-wave DFT calculation with PBE was carried out for NaLuSeO after structural relaxation.

Cell lengths 4.313, 7.440, 6.105 Å; angles 90.00, 90.00, 90.00 degrees
Positions (direct):
1 Na 0.000 0.212 0.000
2 Na 0.000 0.788 0.500
3 Lu 0.500 0.371 0.409
4 Lu 0.500 0.629 0.909
5 Se 0.000 0.181 0.527
6 Se 0.000 0.819 0.027
7 O 0.500 0.389 0.073
8 O 0.500 0.611 0.573

- energy relative to the lowest polymorph listed for this composition (eV/atom) = 0.1726
- SG = Pmc2_1, No. 26

A plane-wave DFT calculation with PBE was carried out for NaLuSeO after structural relaxation.

Cell lengths 3.919, 3.919, 9.455 Å; angles 90.00, 90.00, 90.00 degrees
Positions (direct):
1 Na 0.250 0.750 0.000
2 Na 0.750 0.250 0.000
3 Lu 0.250 0.250 0.393
4 Lu 0.750 0.750 0.607
5 Se 0.250 0.250 0.788
6 Se 0.750 0.750 0.212
7 O 0.250 0.750 0.500
8 O 0.750 0.250 0.500

- energy relative to the lowest polymorph listed for this composition (eV/atom) = 0.1116
- SG = P4/nmm, No. 129

A plane-wave DFT calculation with PBE was carried out for NaLuSeO after structural relaxation.

Cell lengths 7.036, 7.184, 6.254 Å; angles 90.00, 102.51, 90.00 degrees
Positions (direct):
1 Na 0.095 0.232 0.486
2 Na 0.095 0.268 0.986
3 Na 0.905 0.732 0.014
4 Na 0.905 0.768 0.514
5 Lu 0.467 0.625 0.774
6 Lu 0.467 0.875 0.274
7 Lu 0.533 0.125 0.726
8 Lu 0.533 0.375 0.226
9 Se 0.216 0.584 0.342
10 Se 0.216 0.916 0.842
11 Se 0.784 0.084 0.158
12 Se 0.784 0.416 0.658
13 O 0.397 0.152 0.384
14 O 0.397 0.348 0.884
15 O 0.603 0.652 0.116
16 O 0.603 0.848 0.616

- energy relative to the lowest polymorph listed for this composition (eV/atom) = 0.0227
- SG = P2_1/c, No. 14

A plane-wave DFT calculation with PBE was carried out for NaLuSeO after structural relaxation.

Cell lengths 5.549, 5.553, 10.550 Å; angles 90.00, 103.96, 90.00 degrees
Positions (direct):
1 Na 0.036 0.000 0.099
2 Na 0.450 0.974 0.903
3 Na 0.550 0.474 0.097
4 Na 0.964 0.500 0.901
5 Lu 0.047 0.274 0.598
6 Lu 0.453 0.275 0.402
7 Lu 0.547 0.775 0.598
8 Lu 0.953 0.774 0.402
9 Se 0.085 0.496 0.192
10 Se 0.422 0.484 0.807
11 Se 0.578 0.984 0.193
12 Se 0.915 0.996 0.808
13 O 0.250 0.027 0.500
14 O 0.250 0.528 0.500
15 O 0.750 0.028 0.500
16 O 0.750 0.527 0.500

- energy relative to the lowest polymorph listed for this composition (eV/atom) = 0.0000
- SG = P2_1, No. 4

A plane-wave DFT calculation with PBE was carried out for NaLuTeO after structural relaxation.

Cell lengths 4.476, 7.750, 6.397 Å; angles 90.00, 90.00, 90.00 degrees
Positions (direct):
1 Na 0.000 0.226 0.000
2 Na 0.000 0.774 0.500
3 Lu 0.500 0.388 0.381
4 Lu 0.500 0.612 0.881
5 Te 0.000 0.183 0.521
6 Te 0.000 0.817 0.021
7 O 0.500 0.393 0.060
8 O 0.500 0.607 0.560

- energy relative to the lowest polymorph listed for this composition (eV/atom) = 0.1316
- SG = Pmc2_1, No. 26

A plane-wave DFT calculation with PBE was carried out for NaLuTeO after structural relaxation.

Cell lengths 4.042, 4.042, 10.080 Å; angles 90.00, 90.00, 90.00 degrees
Positions (direct):
1 Na 0.250 0.750 0.000
2 Na 0.750 0.250 0.000
3 Lu 0.250 0.250 0.404
4 Lu 0.750 0.750 0.596
5 Te 0.250 0.250 0.780
6 Te 0.750 0.750 0.220
7 O 0.250 0.750 0.500
8 O 0.750 0.250 0.500

- energy relative to the lowest polymorph listed for this composition (eV/atom) = 0.0470
- SG = P4/nmm, No. 129

A plane-wave DFT calculation with PBE was carried out for NaLuTeO after structural relaxation.

Cell lengths 7.358, 7.382, 6.471 Å; angles 90.00, 99.57, 90.00 degrees
Positions (direct):
1 Na 0.117 0.206 0.480
2 Na 0.117 0.294 0.980
3 Na 0.883 0.706 0.020
4 Na 0.883 0.794 0.520
5 Lu 0.471 0.623 0.783
6 Lu 0.471 0.877 0.283
7 Lu 0.529 0.123 0.717
8 Lu 0.529 0.377 0.217
9 Te 0.203 0.582 0.353
10 Te 0.203 0.918 0.853
11 Te 0.797 0.082 0.147
12 Te 0.797 0.418 0.647
13 O 0.415 0.151 0.391
14 O 0.415 0.349 0.891
15 O 0.585 0.651 0.109
16 O 0.585 0.849 0.609

- energy relative to the lowest polymorph listed for this composition (eV/atom) = 0.0000
- SG = P2_1/c, No. 14

A plane-wave DFT calculation with PBE was carried out for NaLuZnO3 after structural relaxation.

Cell lengths 5.731, 5.731, 8.769 Å; angles 90.00, 90.00, 145.30 degrees
Positions (direct):
1 Na 0.196 0.804 0.750
2 Na 0.804 0.196 0.250
3 Lu 0.500 0.500 0.000
4 Lu 0.500 0.500 0.500
5 Zn 0.081 0.919 0.250
6 Zn 0.919 0.081 0.750
7 O 0.125 0.875 0.044
8 O 0.125 0.875 0.456
9 O 0.460 0.540 0.250
10 O 0.540 0.460 0.750
11 O 0.875 0.125 0.544
12 O 0.875 0.125 0.956

- final energy (eV per atom) = -5.86
- SG = Cmcm, No. 63

A plane-wave DFT calculation with PBE was carried out for NaLuTeOs after structural relaxation.

Cell lengths 4.918, 4.918, 4.918 Å; angles 60.00, 60.00, 60.00 degrees
Positions (direct):
1 Na 0.000 0.000 0.000
2 Lu 0.500 0.500 0.500
3 Te 0.250 0.250 0.250
4 Os 0.750 0.750 0.750

- energy relative to the lowest polymorph listed for this composition (eV/atom) = 0.2004
- SG = F-43m, No. 216

A plane-wave DFT calculation with PBE was carried out for NaLuTeOs after structural relaxation.

Cell lengths 4.778, 4.778, 4.778 Å; angles 60.00, 60.00, 60.00 degrees
Positions (direct):
1 Na 0.000 0.000 0.000
2 Lu 0.750 0.750 0.750
3 Te 0.250 0.250 0.250
4 Os 0.500 0.500 0.500

- energy relative to the lowest polymorph listed for this composition (eV/atom) = 0.0000
- SG = F-43m, No. 216

A plane-wave DFT calculation with PBE was carried out for NaLuP2S6 after structural relaxation.

Cell lengths 6.855, 7.046, 9.145 Å; angles 86.96, 87.53, 88.13 degrees
Positions (direct):
1 Na 0.032 0.103 0.232
2 Na 0.968 0.897 0.768
3 Lu 0.471 0.618 0.243
4 Lu 0.529 0.382 0.757
5 P 0.152 0.536 0.526
6 P 0.434 0.891 0.935
7 P 0.566 0.109 0.065
8 P 0.848 0.464 0.474
9 S 0.157 0.525 0.748
10 S 0.202 0.794 0.060
11 S 0.206 0.793 0.427
12 S 0.335 0.333 0.440
13 S 0.354 0.322 0.059
14 S 0.376 0.022 0.740
15 S 0.624 0.978 0.260
16 S 0.646 0.678 0.941
17 S 0.665 0.667 0.560
18 S 0.794 0.207 0.573
19 S 0.798 0.206 0.940
20 S 0.843 0.475 0.252

- final energy (eV per atom) = -5.03
- SG = P-1, No. 2

A plane-wave DFT calculation with PBE was carried out for NaLuPa after structural relaxation.

Cell lengths 5.141, 5.141, 5.141 Å; angles 60.00, 60.00, 60.00 degrees
Positions (direct):
1 Na 0.000 0.000 0.000
2 Lu 0.750 0.750 0.750
3 Pa 0.250 0.250 0.250

- energy relative to the lowest polymorph listed for this composition (eV/atom) = 0.0000
- SG = F-43m, No. 216

A plane-wave DFT calculation with PBE was carried out for Na2Lu2Pb after structural relaxation.

Cell lengths 5.380, 5.380, 11.881 Å; angles 90.00, 90.00, 120.00 degrees
Positions (direct):
1 Na 0.333 0.667 0.098
2 Na 0.333 0.667 0.402
3 Na 0.667 0.333 0.598
4 Na 0.667 0.333 0.902
5 Lu 0.000 0.000 0.000
6 Lu 0.000 0.000 0.500
7 Lu 0.333 0.667 0.750
8 Lu 0.667 0.333 0.250
9 Pb 0.000 0.000 0.250
10 Pb 0.000 0.000 0.750

- final energy (eV per atom) = -2.94
- SG = P6_3/mmc, No. 194

A plane-wave DFT calculation with PBE was carried out for NaLuPdPb after structural relaxation.

Cell lengths 5.042, 5.042, 5.042 Å; angles 60.00, 60.00, 60.00 degrees
Positions (direct):
1 Na 0.000 0.000 0.000
2 Lu 0.500 0.500 0.500
3 Pd 0.750 0.750 0.750
4 Pb 0.250 0.250 0.250

- energy relative to the lowest polymorph listed for this composition (eV/atom) = 0.0609
- SG = F-43m, No. 216

A plane-wave DFT calculation with PBE was carried out for NaLuPdPb after structural relaxation.

Cell lengths 4.917, 4.917, 4.917 Å; angles 60.00, 60.00, 60.00 degrees
Positions (direct):
1 Na 0.000 0.000 0.000
2 Lu 0.750 0.750 0.750
3 Pd 0.500 0.500 0.500
4 Pb 0.250 0.250 0.250

- energy relative to the lowest polymorph listed for this composition (eV/atom) = 0.0000
- SG = F-43m, No. 216

A plane-wave DFT calculation with PBE was carried out for NaLuPtPb after structural relaxation.

Cell lengths 5.008, 5.008, 5.008 Å; angles 60.00, 60.00, 60.00 degrees
Positions (direct):
1 Na 0.000 0.000 0.000
2 Lu 0.500 0.500 0.500
3 Pt 0.250 0.250 0.250
4 Pb 0.750 0.750 0.750

- energy relative to the lowest polymorph listed for this composition (eV/atom) = 0.0985
- SG = F-43m, No. 216

A plane-wave DFT calculation with PBE was carried out for NaLuPtPb after structural relaxation.

Cell lengths 4.900, 4.900, 4.900 Å; angles 60.00, 60.00, 60.00 degrees
Positions (direct):
1 Na 0.000 0.000 0.000
2 Lu 0.250 0.250 0.250
3 Pt 0.500 0.500 0.500
4 Pb 0.750 0.750 0.750

- energy relative to the lowest polymorph listed for this composition (eV/atom) = 0.0000
- SG = F-43m, No. 216

A plane-wave DFT calculation with PBE was carried out for NaLuPd after structural relaxation.

Cell lengths 4.707, 4.707, 4.707 Å; angles 60.00, 60.00, 60.00 degrees
Positions (direct):
1 Na 0.000 0.000 0.000
2 Lu 0.500 0.500 0.500
3 Pd 0.750 0.750 0.750

- energy relative to the lowest polymorph listed for this composition (eV/atom) = 0.0000
- SG = F-43m, No. 216

A plane-wave DFT calculation with PBE was carried out for NaLuPdSe3 after structural relaxation.

Cell lengths 7.549, 7.549, 9.946 Å; angles 90.00, 90.00, 149.51 degrees
Positions (direct):
1 Na 0.231 0.769 0.750
2 Na 0.769 0.231 0.250
3 Lu 0.000 0.000 0.000
4 Lu 0.000 0.000 0.500
5 Pd 0.492 0.508 0.250
6 Pd 0.508 0.492 0.750
7 Se 0.101 0.899 0.250
8 Se 0.371 0.629 0.072
9 Se 0.371 0.629 0.428
10 Se 0.629 0.371 0.572
11 Se 0.629 0.371 0.928
12 Se 0.899 0.101 0.750

- energy relative to the lowest polymorph listed for this composition (eV/atom) = 0.0068
- SG = Cmcm, No. 63

A plane-wave DFT calculation with PBE was carried out for NaLuPdSe3 after structural relaxation.

Cell lengths 8.116, 3.981, 9.333 Å; angles 90.00, 103.52, 90.00 degrees
Positions (direct):
1 Na 0.203 0.250 0.241
2 Na 0.797 0.750 0.759
3 Lu 0.324 0.750 0.852
4 Lu 0.676 0.250 0.148
5 Pd 0.097 0.250 0.579
6 Pd 0.903 0.750 0.421
7 Se 0.081 0.250 0.853
8 Se 0.258 0.750 0.537
9 Se 0.435 0.750 0.158
10 Se 0.565 0.250 0.842
11 Se 0.742 0.250 0.463
12 Se 0.919 0.750 0.147

- energy relative to the lowest polymorph listed for this composition (eV/atom) = 0.0000
- SG = P2_1/m, No. 11

A plane-wave DFT calculation with PBE was carried out for NaLuSiPd after structural relaxation.

Cell lengths 4.785, 4.785, 4.785 Å; angles 60.00, 60.00, 60.00 degrees
Positions (direct):
1 Na 0.000 0.000 0.000
2 Lu 0.500 0.500 0.500
3 Si 0.750 0.750 0.750
4 Pd 0.250 0.250 0.250

- energy relative to the lowest polymorph listed for this composition (eV/atom) = 0.0790
- SG = F-43m, No. 216

| no. | magnetization (Bohr magnetons per cell) |
| --- | --- |
| 1 | 0.00 |
| 2 | 0.00 |
| 3 | 0.00 |
| 4 | 0.00 |
| 5 | 0.00 |
| 6 | 0.00 |
| 7 | 0.00 |
| 8 | 0.00 |
| 9 | 0.00 |
| 10 | 0.00 |
| 11 | 0.00 |
| 12 | 0.02 |
| 13 | 0.00 |
| 14 | 0.00 |
| 15 | 3.09 |
| 16 | 0.02 |
| 17 | 0.00 |
| 18 | 0.00 |
| 19 | 0.00 |
| 20 | 0.00 |
| 21 | 0.01 |
| 22 | 0.00 |
| 23 | 0.00 |
| 24 | 0.00 |